Density functional theory data (PBE-GGA) for a geometry-optimized AlAs structure.

Properties
Final energy, eV per cell: -8.1
Crystal system: tetragonal
Magnetization, μB per formula unit: 0.0
N(E_F), states/eV/atom: 0.777

a b c (Å): 2.739 2.739 5.357
angles (deg): 90.00 90.00 90.00
Element x y z (fractional)
Al  0.000  0.000  0.000
As  0.000  0.000  0.500

=====

Density functional theory data (PBE-GGA) for a geometry-optimized LiNiAs2 structure.

Properties
Final energy, eV per cell: -17.7
Offset from the most stable computed form, meV per atom: 148
Crystal system: cubic
Magnetization, μB per formula unit: 0.0
N(E_F), states/eV/atom: 0.318

a b c (Å): 4.376 4.376 4.376
angles (deg): 60.00 60.00 60.00
Element x y z (fractional)
Li  0.000  0.000  0.000
Ni  0.500  0.500  0.500
As  0.250  0.250  0.250
As  0.750  0.750  0.750

=====

Quick rundown of energy of formation, same order as above: 0.3 -0.8 eV per formula unit